# 1
A relaxed structure of Hf4Ti2Al, computed with PBE.

a b c (Å): 5.635 5.296 9.557
angles (deg): 90.00 90.00 90.00
Atoms (fractional coordinates):
Hf: 0.000 0.055 0.169
Hf: 0.000 0.945 0.831
Hf: 0.250 0.439 0.750
Hf: 0.250 0.561 0.250
Hf: 0.500 0.055 0.331
Hf: 0.500 0.945 0.669
Hf: 0.750 0.439 0.750
Hf: 0.750 0.561 0.250
Ti: 0.000 0.246 0.475
Ti: 0.000 0.754 0.525
Ti: 0.500 0.246 0.025
Ti: 0.500 0.754 0.975
Al: 0.000 0.500 0.000
Al: 0.500 0.500 0.500

Calculated values
Calculated density ... 9.7 g/cm³
DOS at the Fermi energy ... 1.484 states/eV/atom
Space-group type ... Pmna
VASP energy ... -8.4213 eV/atom
E_form ... 5 kJ/mol of atoms

---

# 2
A relaxed structure of HfTi3Al3, computed with PBE.

a b c (Å): 7.797 7.797 4.551
angles (deg): 90.00 90.00 120.00
Atoms (fractional coordinates):
Hf: 0.333 0.667 0.250
Hf: 0.667 0.333 0.750
Ti: 0.013 0.785 0.250
Ti: 0.215 0.227 0.250
Ti: 0.227 0.013 0.750
Ti: 0.773 0.987 0.250
Ti: 0.785 0.773 0.750
Ti: 0.987 0.215 0.750
Al: 0.080 0.618 0.750
Al: 0.382 0.462 0.750
Al: 0.462 0.080 0.250
Al: 0.538 0.920 0.750
Al: 0.618 0.538 0.250
Al: 0.920 0.382 0.250

Calculated values
Calculated density ... 5.6 g/cm³
DOS at the Fermi energy ... 0.496 states/eV/atom
Space-group type ... P6_3/m
VASP energy ... -6.7423 eV/atom
E_form ... -32 kJ/mol of atoms

---

# 3
A relaxed structure of Hf12Ti6Al, computed with PBE.

a b c (Å): 7.322 7.322 7.322
angles (deg): 88.01 88.01 88.01
Atoms (fractional coordinates):
Hf: 0.028 0.929 0.296
Hf: 0.071 0.704 0.972
Hf: 0.120 0.467 0.333
Hf: 0.296 0.028 0.929
Hf: 0.333 0.120 0.467
Hf: 0.467 0.333 0.120
Hf: 0.533 0.667 0.880
Hf: 0.667 0.880 0.533
Hf: 0.704 0.972 0.071
Hf: 0.880 0.533 0.667
Hf: 0.929 0.296 0.028
Hf: 0.972 0.071 0.704
Ti: 0.219 0.760 0.599
Ti: 0.240 0.401 0.781
Ti: 0.401 0.781 0.240
Ti: 0.599 0.219 0.760
Ti: 0.760 0.599 0.219
Ti: 0.781 0.240 0.401
Al: 0.500 0.500 0.500

Calculated values
Calculated density ... 10.4 g/cm³
DOS at the Fermi energy ... 1.392 states/eV/atom
Space-group type ... R-3
VASP energy ... -8.9374 eV/atom
E_form ... 4 kJ/mol of atoms

---

# 4
A relaxed structure of HfTi2Al8, computed with PBE.

a b c (Å): 7.858 7.858 4.948
angles (deg): 108.27 108.27 124.36
Atoms (fractional coordinates):
Hf: 0.000 0.000 0.000
Ti: 0.319 0.681 0.500
Ti: 0.681 0.319 0.500
Al: 0.103 0.370 0.737
Al: 0.203 0.797 0.000
Al: 0.370 0.103 0.737
Al: 0.500 0.500 0.259
Al: 0.500 0.500 0.741
Al: 0.630 0.897 0.263
Al: 0.797 0.203 0.000
Al: 0.897 0.630 0.263

Calculated values
Calculated density ... 4.4 g/cm³
DOS at the Fermi energy ... 0.695 states/eV/atom
Space-group type ... C2/m
VASP energy ... -5.2123 eV/atom
E_form ... -14 kJ/mol of atoms

---

# 5
A relaxed structure of Hf7TiAl4, computed with PBE.

a b c (Å): 7.135 7.135 8.495
angles (deg): 118.74 118.74 41.24
Atoms (fractional coordinates):
Hf: 0.000 0.000 0.000
Hf: 0.262 0.262 0.729
Hf: 0.295 0.295 0.121
Hf: 0.421 0.421 0.575
Hf: 0.579 0.579 0.425
Hf: 0.705 0.705 0.879
Hf: 0.738 0.738 0.271
Ti: 0.500 0.500 0.000
Al: 0.050 0.050 0.702
Al: 0.175 0.175 0.352
Al: 0.825 0.825 0.648
Al: 0.950 0.950 0.298

Calculated values
Calculated density ... 9.5 g/cm³
DOS at the Fermi energy ... 0.962 states/eV/atom
Space-group type ... C2/m
VASP energy ... -7.6376 eV/atom
E_form ... 7 kJ/mol of atoms

---

# 6
A relaxed structure of HfTi4Al2, computed with PBE.

a b c (Å): 7.310 5.236 7.437
angles (deg): 90.00 119.42 90.00
Atoms (fractional coordinates):
Hf: 0.213 0.250 0.233
Hf: 0.787 0.750 0.767
Ti: 0.225 0.750 0.964
Ti: 0.238 0.501 0.620
Ti: 0.238 0.999 0.620
Ti: 0.431 0.250 0.023
Ti: 0.569 0.750 0.977
Ti: 0.762 0.001 0.380
Ti: 0.762 0.499 0.380
Ti: 0.775 0.250 0.036
Al: 0.002 0.750 0.219
Al: 0.424 0.750 0.385
Al: 0.576 0.250 0.615
Al: 0.998 0.250 0.781

Calculated values
Calculated density ... 5.7 g/cm³
DOS at the Fermi energy ... 0.971 states/eV/atom
Space-group type ... P2_1/m
VASP energy ... -7.0986 eV/atom
E_form ... -9 kJ/mol of atoms
Distance to the lowest polymorph of the same formula ... 0.037 eV per formula unit

---

# 7
A relaxed structure of Hf6TiAl, computed with PBE.

a b c (Å): 5.557 5.557 5.565
angles (deg): 91.99 91.99 98.05
Atoms (fractional coordinates):
Hf: 0.027 0.652 0.778
Hf: 0.164 0.164 0.699
Hf: 0.348 0.973 0.222
Hf: 0.652 0.027 0.778
Hf: 0.836 0.836 0.301
Hf: 0.973 0.348 0.222
Ti: 0.500 0.500 0.500
Al: 0.500 0.500 0.000

Calculated values
Calculated density ... 11.2 g/cm³
DOS at the Fermi energy ... 1.189 states/eV/atom
Space-group type ... C2/m
VASP energy ... -8.8950 eV/atom
E_form ... 2 kJ/mol of atoms

---

# 8
A relaxed structure of HfTi3Al, computed with PBE.

a b c (Å): 4.718 4.718 4.718
angles (deg): 90.00 90.00 90.00
Atoms (fractional coordinates):
Hf: 0.000 0.000 0.000
Ti: 0.000 0.500 0.500
Ti: 0.500 0.000 0.500
Ti: 0.500 0.500 0.000
Al: 0.500 0.500 0.500

Calculated values
Calculated density ... 5.5 g/cm³
DOS at the Fermi energy ... 1.621 states/eV/atom
Space-group type ... Pm-3m
VASP energy ... -6.7377 eV/atom
E_form ... 71 kJ/mol of atoms
Distance to the lowest polymorph of the same formula ... 3.364 eV per formula unit

---

# 9
A relaxed structure of HfTi6Al2, computed with PBE.

a b c (Å): 7.310 7.310 7.310
angles (deg): 142.16 136.46 59.03
Atoms (fractional coordinates):
Hf: 0.000 0.000 0.000
Ti: 0.120 0.385 0.735
Ti: 0.214 0.214 0.000
Ti: 0.351 0.615 0.735
Ti: 0.649 0.385 0.265
Ti: 0.786 0.786 0.000
Ti: 0.880 0.615 0.265
Al: 0.337 0.837 0.500
Al: 0.663 0.163 0.500

Calculated values
Calculated density ... 5.3 g/cm³
DOS at the Fermi energy ... 1.045 states/eV/atom
Space-group type ... Immm
VASP energy ... -7.2148 eV/atom
E_form ... -1 kJ/mol of atoms

---

# 10
A relaxed structure of HfTi4Al4, computed with PBE.

a b c (Å): 6.482 6.482 6.482
angles (deg): 95.60 95.60 143.60
Atoms (fractional coordinates):
Hf: 0.000 0.000 0.000
Ti: 0.327 0.327 0.654
Ti: 0.327 0.673 0.000
Ti: 0.673 0.327 0.000
Ti: 0.673 0.673 0.346
Al: 0.000 0.331 0.331
Al: 0.000 0.669 0.669
Al: 0.331 0.000 0.331
Al: 0.669 0.000 0.669

Calculated values
Calculated density ... 5.2 g/cm³
DOS at the Fermi energy ... 0.930 states/eV/atom
Space-group type ... I4/mmm
VASP energy ... -6.5309 eV/atom
E_form ... -24 kJ/mol of atoms

---

# 11
A relaxed structure of HfTiAl, computed with PBE.

a b c (Å): 6.919 6.919 6.919
angles (deg): 153.18 130.09 57.56
Atoms (fractional coordinates):
Hf: 0.184 0.184 0.000
Hf: 0.816 0.816 0.000
Ti: 0.218 0.500 0.718
Ti: 0.782 0.500 0.282
Al: 0.380 0.880 0.500
Al: 0.620 0.120 0.500

Calculated values
Calculated density ... 7.4 g/cm³
DOS at the Fermi energy ... 1.102 states/eV/atom
Space-group type ... Immm
VASP energy ... -7.3635 eV/atom
E_form ... -16 kJ/mol of atoms
Distance to the lowest polymorph of the same formula ... 0.452 eV per formula unit

---

# 12
A relaxed structure of Hf2TiAl, computed with PBE.

a b c (Å): 3.120 4.484 11.149
angles (deg): 90.00 90.11 90.00
Atoms (fractional coordinates):
Hf: 0.002 0.250 0.167
Hf: 0.498 0.250 0.673
Hf: 0.502 0.750 0.327
Hf: 0.998 0.750 0.833
Ti: 0.004 0.250 0.428
Ti: 0.996 0.750 0.572
Al: 0.499 0.250 0.935
Al: 0.501 0.750 0.065

Calculated values
Calculated density ... 9.2 g/cm³
DOS at the Fermi energy ... 0.675 states/eV/atom
Space-group type ... P2_1/m
VASP energy ... -8.0640 eV/atom
E_form ... -17 kJ/mol of atoms

---

> Look up the E_form of the twelfth one.

-17 kJ/mol of atoms